A plane-wave DFT calculation with GGA-PBE was carried out for a geometry-optimized CoBiMo3 structure.

Properties
- Crystal system: cubic
- Total energy: -38.00 eV/f.u.
- Mass density: 9.79 Mg/m³
- Energy of formation from the pure elements: 105.8 kJ/mol of atoms

CIF file:
```
data_CoBiMo3
_chemical_formula_sum 'Co1 Bi1 Mo3'
_cell_length_a 4.551
_cell_length_b 4.551
_cell_length_c 4.551
_cell_angle_alpha 90.00
_cell_angle_beta 90.00
_cell_angle_gamma 90.00
_symmetry_space_group_name_H-M 'P m -3 m'
_symmetry_Int_Tables_number 221
_symmetry_space_group_name_Hall '-P 4 2 3'
loop_
_atom_site_label
_atom_site_type_symbol
_atom_site_fract_x
_atom_site_fract_y
_atom_site_fract_z
_atom_site_occupancy
Co1 Co 0.000 0.000 0.000 1
Bi1 Bi 0.500 0.500 0.500 1
Mo1 Mo 0.000 0.000 0.500 1
```

A plane-wave DFT calculation with GGA-PBE was carried out for a geometry-optimized Ba2NdBiO6 structure.

Properties
- Crystal system: monoclinic
- Total energy: -65.69 eV/f.u.
- Mass density: 6.96 Mg/m³

CIF file:
```
data_Ba2NdBiO6
_chemical_formula_sum 'Ba4 Nd2 Bi2 O12'
_cell_length_a 10.775
_cell_length_b 6.239
_cell_length_c 6.286
_cell_angle_alpha 90.00
_cell_angle_beta 125.17
_cell_angle_gamma 90.00
_symmetry_space_group_name_H-M 'C 1 2/m 1'
_symmetry_Int_Tables_number 12
loop_
_symmetry_equiv_pos_as_xyz
'x,y,z'
'-x,-y,-z'
'-x,y,-z'
'x,-y,z'
'x+1/2,y+1/2,z'
'-x+1/2,-y+1/2,-z'
'-x+1/2,y+1/2,-z'
'x+1/2,-y+1/2,z'
loop_
_atom_site_label
_atom_site_type_symbol
_atom_site_fract_x
_atom_site_fract_y
_atom_site_fract_z
_atom_site_occupancy
Ba1 Ba 0.248 0.000 0.240 1
Nd1 Nd 0.000 0.000 0.500 1
Bi1 Bi 0.000 0.500 0.000 1
O1 O 0.040 0.259 0.803 1
O2 O 0.238 0.500 0.311 1
```

A plane-wave DFT calculation with GGA-PBE was carried out for a geometry-optimized TcOsRh2 structure.

Properties
- Crystal system: tetragonal
- Total energy: -36.36 eV/f.u.
- Mass density: 14.34 Mg/m³
- Energy of formation from the pure elements: -1.6 kJ/mol of atoms

CIF file:
```
data_TcOsRh2
_chemical_formula_sum 'Tc1 Os1 Rh2'
_cell_length_a 2.721
_cell_length_b 2.721
_cell_length_c 7.728
_cell_angle_alpha 90.00
_cell_angle_beta 90.00
_cell_angle_gamma 90.00
_symmetry_space_group_name_H-M 'P 4 m m'
_symmetry_Int_Tables_number 99
loop_
_symmetry_equiv_pos_as_xyz
'x,y,z'
'-y,x,z'
'-x,-y,z'
'y,-x,z'
'-x,y,z'
'y,x,z'
'x,-y,z'
'-y,-x,z'
loop_
_atom_site_label
_atom_site_type_symbol
_atom_site_fract_x
_atom_site_fract_y
_atom_site_fract_z
_atom_site_occupancy
Tc1 Tc 0.000 0.000 0.000 1
Os1 Os 0.500 0.500 0.250 1
Rh1 Rh 0.000 0.000 0.494 1
Rh2 Rh 0.500 0.500 0.755 1
```

A plane-wave DFT calculation with GGA-PBE was carried out for a geometry-optimized Al2HgP structure.

Properties
- Crystal system: tetragonal
- Total energy: -12.15 eV/f.u.
- Mass density: 6.45 Mg/m³
- Energy of formation from the pure elements: 25.2 kJ/mol of atoms

CIF file:
```
data_Al2HgP
_chemical_formula_sum 'Al2 Hg1 P1'
_cell_length_a 4.574
_cell_length_b 4.574
_cell_length_c 3.511
_cell_angle_alpha 90.00
_cell_angle_beta 90.00
_cell_angle_gamma 90.00
_symmetry_space_group_name_H-M 'P 4/m m m'
_symmetry_Int_Tables_number 123
_symmetry_space_group_name_Hall '-P 4 2'
loop_
_atom_site_label
_atom_site_type_symbol
_atom_site_fract_x
_atom_site_fract_y
_atom_site_fract_z
_atom_site_occupancy
Al1 Al 0.000 0.500 0.000 1
Hg1 Hg 0.000 0.000 0.500 1
P1 P 0.500 0.500 0.500 1
```

A plane-wave DFT calculation with GGA-PBE was carried out for a geometry-optimized PmPr4Y2 structure.

Properties
- Crystal system: orthorhombic
- Total energy: -36.38 eV/f.u.
- Mass density: 5.99 Mg/m³
- Energy of formation from the pure elements: 5.7 kJ/mol of atoms

CIF file:
```
data_PmPr4Y2
_chemical_formula_sum 'Pm8 Pr32 Y16'
_cell_length_a 12.181
_cell_length_b 24.629
_cell_length_c 6.553
_cell_angle_alpha 90.00
_cell_angle_beta 90.00
_cell_angle_gamma 90.00
_symmetry_space_group_name_H-M 'F d d 2'
_symmetry_Int_Tables_number 43
_symmetry_space_group_name_Hall 'F 2 -2d'
loop_
_atom_site_label
_atom_site_type_symbol
_atom_site_fract_x
_atom_site_fract_y
_atom_site_fract_z
_atom_site_occupancy
Pm1 Pm 0.000 0.000 0.000 1
Pr1 Pr 0.049 0.429 0.988 1
Pr2 Pr 0.065 0.357 0.462 1
Y1 Y 0.026 0.284 0.940 1
```

A plane-wave DFT calculation with GGA-PBE was carried out for a geometry-optimized Ba2SiAuC structure.

Properties
- Crystal system: tetragonal
- Total energy: -22.06 eV/f.u.
- Mass density: 6.40 Mg/m³

CIF file:
```
data_Ba2SiAuC
_chemical_formula_sum 'Ba2 Si1 Au1 C1'
_cell_length_a 5.959
_cell_length_b 5.959
_cell_length_c 3.739
_cell_angle_alpha 90.00
_cell_angle_beta 90.00
_cell_angle_gamma 90.00
_symmetry_space_group_name_H-M 'P 4/m m m'
_symmetry_Int_Tables_number 123
_symmetry_space_group_name_Hall '-P 4 2'
loop_
_atom_site_label
_atom_site_type_symbol
_atom_site_fract_x
_atom_site_fract_y
_atom_site_fract_z
_atom_site_occupancy
Ba1 Ba 0.000 0.500 0.000 1
Si1 Si 0.000 0.000 0.500 1
Au1 Au 0.500 0.500 0.500 1
C1 C 0.000 0.000 0.000 1
```